# 1
Crystalline OsPb3O6F2 at its relaxed geometry, computed with PBE.

a b c (Å): 5.119 6.780 6.866
angles (deg): 119.59 87.10 90.00
Atoms (fractional coordinates):
1 Os 0.500 0.000 0.000
2 Pb 0.000 0.500 0.000
3 Pb 0.500 0.500 0.500
4 Pb 0.500 0.000 0.500
5 O 0.707 0.262 0.123
6 O 0.293 0.738 0.877
7 O 0.707 0.861 0.723
8 O 0.293 0.139 0.277
9 O 0.293 0.139 0.877
10 O 0.707 0.861 0.123
11 F 0.215 0.675 0.351
12 F 0.785 0.325 0.649

- Magnetization: 0.000 μB/atom
- Formation energy from raw total energies: -1.274 eV per atom
- Crystal system: monoclinic
- Calculated total energy: -71.13 eV/cell



# 2
Crystalline NbRhS2 at its relaxed geometry, computed with PBE.

a b c (Å): 5.453 5.453 6.559
angles (deg): 65.44 65.44 90.00
Atoms (fractional coordinates):
1 Nb 0.500 0.500 0.000
2 Nb 0.250 0.750 0.500
3 Rh 0.000 0.000 0.000
4 Rh 0.750 0.250 0.500
5 S 0.634 0.125 0.250
6 S 0.116 0.625 0.250
7 S 0.375 0.366 0.750
8 S 0.875 0.884 0.750

- Magnetization: 0.000 μB/atom
- Formation energy from raw total energies: -0.426 eV per atom
- Crystal system: tetragonal
- Calculated total energy: -54.76 eV/cell